Entry 1:
## Tl4CdIn2 (PBE-GGA)

Data for an optimized crystal structure of Tl4CdIn2.

Cell lengths 7.9498, 7.9498, 6.8058 Å; angles 90.00, 90.00, 90.00 degrees
With the nearest neighbours (Å) after each atom.
Positions (direct):
Tl 0.2105 0.2105 0.0000  1 Cd 3.26, 4 In 3.32, 4 Tl 3.35-3.52
Tl 0.2105 0.7895 0.0000  1 Cd 3.26, 4 In 3.32, 4 Tl 3.35-3.52
Tl 0.2895 0.2895 0.5000  1 Cd 3.26, 4 In 3.32, 4 Tl 3.35-3.52
Tl 0.2895 0.7105 0.5000  1 Cd 3.26, 4 In 3.32, 4 Tl 3.35-3.52
Tl 0.7105 0.2895 0.5000  1 Cd 3.26, 4 In 3.32, 4 Tl 3.35-3.52
Tl 0.7105 0.7105 0.5000  1 Cd 3.26, 4 In 3.32, 4 Tl 3.35-3.52
Tl 0.7895 0.2105 0.0000  1 Cd 3.26, 4 In 3.32, 4 Tl 3.35-3.52
Tl 0.7895 0.7895 0.0000  1 Cd 3.26, 4 In 3.32, 4 Tl 3.35-3.52
Cd 0.0000 0.0000 0.5000  4 Tl 3.26
Cd 0.5000 0.5000 0.0000  4 Tl 3.26
In 0.0000 0.5000 0.2500  8 Tl 3.32, 2 In 3.40
In 0.0000 0.5000 0.7500  8 Tl 3.32, 2 In 3.40
In 0.5000 0.0000 0.2500  8 Tl 3.32, 2 In 3.40
In 0.5000 0.0000 0.7500  8 Tl 3.32, 2 In 3.40

Output
Formation enthalpy at 0 K, eV per formula unit: 0.686
Space group: I4/mmm (139)

---

Entry 2:
## SiAsPC (PBE-GGA)

Data for an optimized crystal structure of SiAsPC.

Cell lengths 3.3961, 3.9529, 4.8170 Å; angles 78.01, 80.70, 77.02 degrees
With the nearest neighbours (Å) after each atom.
Positions (direct):
Si 0.0000 0.0000 0.0000  2 C 1.93-1.98
As 0.5810 0.3440 0.3532  1 C 2.05
P 0.8908 0.5320 0.6986  1 C 1.94
C 0.5568 0.7476 0.0072  2 Si 1.93-1.98, 1 P 1.94, 1 As 2.05

Output
Space group: P1 (1)
Raw formation energy, eV per formula unit: 1.92

---

Number 1: calculated volume 30.7 A^3/atom, size of the total moment 0.00 μB/atom, theoretical density 9.0 g cm⁻³. Number 2: calculated volume 15.3 A^3/atom, size of the total moment 0.00 μB/atom, theoretical density 4.0 g cm⁻³.